Compound: NbRe2Ru2
Source: the Alexandria database
Functional: PBE
Structure: optimized geometry

Cell lengths 7.533, 7.533, 2.761 Å; angles 90.00, 90.00, 90.00 degrees
Fractional coordinates of all 10 atoms:
Nb 0.000 0.000 0.000
Nb 0.500 0.500 0.000
Re 0.171 0.329 0.500
Re 0.329 0.829 0.500
Re 0.671 0.171 0.500
Re 0.829 0.671 0.500
Ru 0.124 0.624 0.000
Ru 0.376 0.124 0.000
Ru 0.624 0.876 0.000
Ru 0.876 0.376 0.000

Properties
- VASP energy (eV/atom) = -10.649
- total moment (Bohr magnetons per cell) = 0.00
- offset from the most stable computed form (eV/f.u.) = 0.012
- theoretical density (g/cm3) = 14.15

---

Compound: K2PuMnCl6
Source: the Alexandria database
Functional: PBE
Structure: optimized geometry

Cell lengths 7.504, 10.625, 7.526 Å; angles 90.00, 90.00, 90.00 degrees
Fractional coordinates of all 20 atoms:
K 0.250 0.000 0.249
K 0.250 0.500 0.249
K 0.750 0.000 0.751
K 0.750 0.500 0.751
Pu 0.250 0.250 0.750
Pu 0.750 0.750 0.250
Mn 0.250 0.750 0.750
Mn 0.750 0.250 0.250
Cl 0.011 0.750 0.512
Cl 0.011 0.750 0.989
Cl 0.250 0.511 0.750
Cl 0.250 0.989 0.750
Cl 0.489 0.750 0.512
Cl 0.489 0.750 0.989
Cl 0.511 0.250 0.011
Cl 0.511 0.250 0.488
Cl 0.750 0.011 0.250
Cl 0.750 0.489 0.250
Cl 0.989 0.250 0.011
Cl 0.989 0.250 0.488

Properties
- formation energy (no corrections) (eV/atom) = -1.59
- VASP energy (eV/atom) = -5.272
- total moment (Bohr magnetons per cell) = 20.92
- theoretical density (g/cm3) = 3.26

---

Compound: BeZnBr2
Source: the Alexandria database
Functional: PBE
Structure: optimized geometry

Cell lengths 8.803, 8.803, 8.803 Å; angles 22.87, 22.87, 22.87 degrees
Fractional coordinates of all 4 atoms:
Be 0.000 0.000 0.000
Zn 0.738 0.738 0.738
Br 0.285 0.285 0.285
Br 0.469 0.469 0.469

Properties
- formation energy (no corrections) (eV/atom) = -0.28
- VASP energy (eV/atom) = -2.366
- total moment (Bohr magnetons per cell) = 0.00
- offset from the most stable computed form (eV/f.u.) = 0.308
- theoretical density (g/cm3) = 4.30